The following is a DFT calculation (PBE with a Hubbard U) of an optimized crystal structure of TmCoO3.

```
TmCoO3
1.0
-2.8326 -0.8962 -2.9632
-2.8678 -0.7531 2.9692
-1.1660 4.0295 -0.1041
Co O Tm
1 3 1
Cartesian
0.0000 0.0000 0.0000 Co
-2.8502 -0.8247 0.0030 O
-1.9993 1.5666 -1.5336 O
-2.0169 1.6382 1.4325 O
-3.4332 1.1901 -0.0491 Tm
```

electronic total energy: -6.044 eV per atom
volume: 14.78 Å³/atom